i | BaMo3P: relaxed, PBE-GGA.

Unit cell a=4.7063 b=4.7063 c=4.7063 alpha=90.00 beta=90.00 gamma=90.00
Last column: nearest neighbours and their distance in Å.
Atoms (fractional coordinates):
Ba: 0.0000 0.0000 0.0000  12 Mo 3.33
Mo: 0.0000 0.5000 0.5000  2 P 2.35
Mo: 0.5000 0.0000 0.5000  2 P 2.35
Mo: 0.5000 0.5000 0.0000  2 P 2.35
P: 0.5000 0.5000 0.5000  6 Mo 2.35

Calculated values
DOS(E_F) = 8.7 states/eV/f.u.
size of the total moment = 0.000 μB/f.u.


ii | BaMo3P: relaxed, PBE-GGA.

Unit cell a=4.9883 b=4.9883 c=4.9883 alpha=90.00 beta=90.00 gamma=90.00
Last column: nearest neighbours and their distance in Å.
Atoms (fractional coordinates):
Ba: 0.0000 0.0000 0.0000  6 Mo 2.49
Mo: 0.0000 0.0000 0.5000  2 Ba 2.49
Mo: 0.0000 0.5000 0.0000  2 Ba 2.49
Mo: 0.5000 0.0000 0.0000  2 Ba 2.49
P: 0.5000 0.5000 0.5000  12 Mo 3.53

Calculated values
DOS(E_F) = 8.4 states/eV/f.u.
size of the total moment = 2.689 μB/f.u.


Stability summary - winner: i; margin: 243.4 kJ/mol of atoms.